VASP calculation (meta-GGA SCAN) on a crystal of LaSb3 relaxed with PBEsol.

Lattice parameters (Å, degrees): 6.2180 6.2180 6.2180 116.76 116.76 116.76
Fractional positions:
La (0.0000, 0.0000, 0.0000)
Sb (0.0000, 0.5000, 0.5000)
Sb (0.5000, 0.0000, 0.5000)
Sb (0.5000, 0.5000, 0.0000)

total DFT energy (no corrections): -2.8777 Ry/atom
V: 27.5 Å³ per atom
SG: R-3m, No. 166
ρ: 7.62 g cm⁻³
total moment: 0.0 μB/f.u.

=====

VASP calculation (meta-GGA SCAN) on a crystal of La6NbGa11O28 relaxed with PBEsol.

Lattice parameters (Å, degrees): 9.6678 9.6678 10.2533 121.99 121.99 50.12
Fractional positions:
La (0.0000, 0.0000, 0.0000)
La (0.4175, 0.1549, 0.2858)
La (0.4202, 0.1568, 0.7894)
La (0.8432, 0.5798, 0.2106)
La (0.8451, 0.5825, 0.7143)
La (0.9855, 0.0145, 0.5000)
Nb (0.4169, 0.5831, 0.5000)
Ga (0.0854, 0.2423, 0.8985)
Ga (0.0858, 0.2525, 0.4031)
Ga (0.1785, 0.5873, 0.6401)
Ga (0.1832, 0.5735, 0.1204)
Ga (0.4127, 0.8215, 0.3599)
Ga (0.4204, 0.5796, 0.0000)
Ga (0.4265, 0.8168, 0.8796)
Ga (0.6513, 0.3393, 0.7555)
Ga (0.6607, 0.3487, 0.2445)
Ga (0.7475, 0.9142, 0.5969)
Ga (0.7577, 0.9146, 0.1015)
O (0.0820, 0.2493, 0.5760)
O (0.0894, 0.2470, 0.0791)
O (0.1074, 0.4297, 0.9159)
O (0.1098, 0.4407, 0.4280)
O (0.1934, 0.7255, 0.5757)
O (0.2041, 0.7291, 0.0901)
O (0.2707, 0.0410, 0.3035)
O (0.2709, 0.7959, 0.9099)
O (0.2745, 0.8066, 0.4243)
O (0.2778, 0.0323, 0.8085)
O (0.3379, 0.4389, 0.2717)
O (0.3553, 0.4309, 0.7684)
O (0.4841, 0.3651, 0.0479)
O (0.5006, 0.3576, 0.5454)
O (0.5593, 0.8902, 0.5720)
O (0.5611, 0.6621, 0.7283)
O (0.5691, 0.6447, 0.2316)
O (0.5703, 0.8926, 0.0841)
O (0.6349, 0.5159, 0.9521)
O (0.6424, 0.4994, 0.4546)
O (0.7263, 0.1206, 0.7789)
O (0.7338, 0.1292, 0.2751)
O (0.7507, 0.9180, 0.4240)
O (0.7530, 0.9106, 0.9209)
O (0.8708, 0.2662, 0.7249)
O (0.8794, 0.2737, 0.2211)
O (0.9590, 0.7293, 0.6965)
O (0.9677, 0.7222, 0.1915)

total DFT energy (no corrections): -1.2328 Ry/atom
V: 13.0 Å³ per atom
SG: C2, No. 5
ρ: 5.96 g cm⁻³
total moment: 0.0 μB/f.u.

=====

VASP calculation (meta-GGA SCAN) on a crystal of La3ZnN relaxed with PBEsol.

Lattice parameters (Å, degrees): 5.0054 5.0054 5.0054 90.00 90.00 90.00
Fractional positions:
La (0.0000, 0.0000, 0.5000)
La (0.0000, 0.5000, 0.0000)
La (0.5000, 0.0000, 0.0000)
Zn (0.5000, 0.5000, 0.5000)
N (0.0000, 0.0000, 0.0000)

V: 25.1 Å³ per atom
SG: Pm-3m, No. 221
ρ: 6.57 g cm⁻³
energy above the lowest structure with this stoichiometry: 50 meV/atom
total moment: 0.0 μB/f.u.

=====

VASP calculation (meta-GGA SCAN) on a crystal of TlTeAu relaxed with PBEsol.

Lattice parameters (Å, degrees): 6.3992 6.3992 6.3992 144.60 144.60 50.94
Fractional positions:
Tl (0.0000, 0.0000, 0.0000)
Te (0.2795, 0.2795, 0.0000)
Au (0.7390, 0.7390, 0.0000)

total DFT energy (no corrections): -4.3833 Ry/atom
V: 29.2 Å³ per atom
SG: I4mm, No. 107
ρ: 10.04 g cm⁻³
total moment: 0.0 μB/f.u.

=====

VASP calculation (meta-GGA SCAN) on a crystal of MgBeRh2 relaxed with PBEsol.

Lattice parameters (Å, degrees): 2.8744 2.8744 6.0789 90.00 90.00 90.00
Fractional positions:
Mg (0.0000, 0.0000, 0.0000)
Be (0.0000, 0.0000, 0.5000)
Rh (0.5000, 0.5000, 0.2841)
Rh (0.5000, 0.5000, 0.7159)

V: 12.6 Å³ per atom
SG: P4/mmm, No. 123
ρ: 7.91 g cm⁻³
energy above the lowest structure with this stoichiometry: 0 meV/atom
total moment: 0.0 μB/f.u.

=====

VASP calculation (meta-GGA SCAN) on a crystal of YZnSe relaxed with PBEsol.

Lattice parameters (Å, degrees): 5.5437 5.5437 5.5437 142.94 142.94 53.41
Fractional positions:
Y (0.0000, 0.0000, 0.0000)
Zn (0.3175, 0.3175, 0.0000)
Se (0.6641, 0.6641, 0.0000)

total DFT energy (no corrections): -1.5644 Ry/atom
V: 20.5 Å³ per atom
SG: I4mm, No. 107
ρ: 6.30 g cm⁻³
total moment: 0.8 μB/f.u.